[1]
Here is LaSm2Y4Sc after structural relaxation from Alexandria. Energies are from GGA-PBE.

Results
* raw total energy: -86.6 eV per cell
* Fermi-level density of states: 18.00 states/eV/f.u.
* energy relative to the elements: 0.41 eV/atom
* V: 32.9 A^3/atom

Structure (POSCAR):
```
LaSm2Y4Sc
1.0
-3.3983 5.8901 6.5840
3.3983 -5.8901 6.5840
3.3983 5.8901 -6.5840
La Sm Y Sc
2 4 8 2
Cartesian
0.0000 0.0000 0.0000
0.0000 5.8901 0.0000
3.3983 0.0000 0.0000
-1.6992 2.9451 3.2920
0.0000 0.0000 6.5840
1.6992 2.9451 3.2920
3.3983 5.7229 -3.2945
3.3983 -0.1672 3.2945
1.7094 2.9451 -0.1739
5.0872 2.9451 -0.1739
-1.6889 2.9451 6.7579
1.6889 2.9451 6.7579
0.0000 6.0573 3.2895
0.0000 0.1672 9.8785
1.6992 2.9451 -3.2920
1.6992 -2.9451 3.2920
```

=====

[2]
Here is Li2InW after structural relaxation from Alexandria. Energies are from GGA-PBE.

Results
* raw total energy: -31.8 eV per cell
* Fermi-level density of states: 1.41 states/eV/f.u.
* energy relative to the elements: 0.90 eV/atom
* V: 17.2 A^3/atom

Structure (POSCAR):
```
Li2InW
1.0
-3.5409 3.5409 2.7481
3.5409 -3.5409 2.7481
3.5409 3.5409 -2.7481
Li In W
4 2 2
Cartesian
1.7705 1.7195 -0.6870
1.8214 -1.7705 3.4351
1.7705 1.8214 2.0611
1.7195 5.3114 0.6870
0.0000 0.0000 0.0000
0.0000 3.5409 1.3740
3.5409 0.0000 1.3740
0.0000 0.0000 2.7481
```

=====

[3]
Here is AlZn2Cu2 after structural relaxation from Alexandria. Energies are from GGA-PBE.

Results
* distance to the lowest polymorph of the same formula: 0 meV per atom
* raw total energy: -14.7 eV per cell
* Fermi-level density of states: 1.67 states/eV/f.u.
* energy relative to the elements: -0.04 eV/atom
* V: 14.4 A^3/atom

Structure (POSCAR):
```
AlZn2Cu2
1.0
-2.0400 2.5670 3.4395
2.0400 -2.5670 3.4395
2.0400 2.5670 -3.4395
Al Zn Cu
1 2 2
Cartesian
0.0000 0.0000 0.0000
2.0400 0.0000 2.1731
0.0000 2.5670 1.2663
2.0400 1.3379 0.0000
0.0000 1.2292 3.4395
```

=====

[4]
Here is CoCu2Pt after structural relaxation from Alexandria. Energies are from GGA-PBE.

Results
* raw total energy: -21.1 eV per cell
* Fermi-level density of states: 4.12 states/eV/f.u.
* energy relative to the elements: 0.05 eV/atom
* V: 12.8 A^3/atom

Structure (POSCAR):
```
CoCu2Pt
1.0
-1.4175 2.1412 4.2264
1.4175 -2.1412 4.2264
1.4175 2.1412 -4.2264
Co Cu Pt
1 2 1
Cartesian
0.0000 0.0000 0.0000
0.0000 0.0000 4.3543
0.0000 2.1412 2.1595
1.4175 0.0000 2.1481
```

=====

[5]
Here is LiBi2H after structural relaxation from Alexandria. Energies are from GGA-PBE.

Results
* distance to the lowest polymorph of the same formula: 49 meV per atom
* raw total energy: -23.6 eV per cell
* Fermi-level density of states: 2.98 states/eV/f.u.
* V: 26.7 A^3/atom

Structure (POSCAR):
```
LiBi2H
1.0
-2.9277 2.9277 6.2314
2.9277 -2.9277 6.2314
2.9277 2.9277 -6.2314
Li Bi H
2 4 2
Cartesian
0.0000 0.0000 0.0000
0.0000 2.9277 3.1157
1.4639 -0.6305 4.6736
2.2973 1.4639 1.5579
1.4639 3.5582 -1.5579
0.6305 1.4639 7.7893
2.9277 0.0000 3.1157
0.0000 0.0000 6.2314
```

=====

[6]
Here is PtSCl3 after structural relaxation from Alexandria. Energies are from GGA-PBE.

Results
* distance to the lowest polymorph of the same formula: 0 meV per atom
* raw total energy: -33.0 eV per cell
* Fermi-level density of states: 0.41 states/eV/f.u.
* V: 25.6 A^3/atom

Structure (POSCAR):
```
PtSCl3
1.0
-4.0911 4.4058 3.5531
4.0911 -4.4058 3.5531
4.0911 4.4058 -3.5531
Pt S Cl
2 2 6
Cartesian
2.0455 2.1952 0.0000
2.0455 2.2106 3.5531
2.0455 3.7827 -1.7401
2.0455 0.6231 1.8129
4.3853 2.0789 0.1305
3.7969 -2.3269 3.6835
2.0455 3.7589 1.7742
0.2942 6.7327 0.1305
-0.2942 2.3269 3.6835
2.0455 0.6469 5.3272
```